Compound: CsCd
Source: Alexandria
Functional: PBE-GGA
Structure: relaxed

Cell: 4.4494 9.3179 9.3179 Å, 119.79 90.00 90.00°
Fractional positions:
Cs 0.0000 0.0000 0.0000
Cs 0.0000 0.4195 0.8395
Cs 0.0000 0.8395 0.4195
Cd 0.5000 0.2301 0.4192
Cd 0.5000 0.4192 0.2301
Cd 0.5000 0.6096 0.6096

Properties
density of states at the Fermi level: 4.88 states/eV per cell
calculated volume: 335.25 Å³/cell
total DFT energy (no corrections): -0.866 eV/atom
formation enthalpy at 0 K: 0.018 eV per atom